No. 1
SiPd3N | PBE | relaxed

Cell lengths 4.159, 4.159, 4.159 Å; angles 90.00, 90.00, 90.00 degrees
Space group Pm-3m (No. 221)
Asymmetric unit:
Si  0.000  0.000  0.000 x1
Pd  0.000  0.500  0.500 x3
N  0.500  0.500  0.500 x1

Results
The calculated density comes out at 8.3 g/cm³. The energy above the most stable polymorph in this dataset comes out at 0 meV/atom. The calculation puts the total magnetization at 0.0 μB/f.u.


No. 2
Si3PdN | PBE | relaxed

Cell lengths 4.592, 4.592, 4.592 Å; angles 90.00, 90.00, 90.00 degrees
Space group Pm-3m (No. 221)
Asymmetric unit:
Si  0.000  0.000  0.500 x3
Pd  0.000  0.000  0.000 x1
N  0.500  0.500  0.500 x1

Results
The calculated density comes out at 3.5 g/cm³. The energy above the most stable polymorph in this dataset comes out at 1094 meV/atom. The calculation puts the total magnetization at 0.0 μB/f.u.


No. 3
SiPdN | PBE | relaxed

Cell lengths 3.411, 3.491, 4.449 Å; angles 68.46, 68.00, 61.30 degrees
Space group P1 (No. 1)
Asymmetric unit:
Si  0.000  0.000  0.000 x1
Pd  0.560  0.553  0.327 x1
N  0.143  0.135  0.580 x1

Results
The calculated density comes out at 5.9 g/cm³. The energy above the most stable polymorph in this dataset comes out at 789 meV/atom. The calculation puts the total magnetization at 0.0 μB/f.u.


No. 4
SiPdN | PBE | relaxed

Cell lengths 2.8312, 2.8312, 15.2505 Å; angles 90.00, 90.00, 120.00 degrees
Space group R3m (No. 160, hexagonal axes)
Asymmetric unit:
Si  0.0000  0.0000  0.0000 x3
Pd  0.0000  0.0000  0.5359 x3
N  0.0000  0.0000  0.3824 x3

Results
The calculated density comes out at 7.0 g/cm³. The energy above the most stable polymorph in this dataset comes out at 0 meV/atom. The calculation puts the total magnetization at 0.0 μB/f.u.


No. 5
SiPdN | PBE | relaxed

Cell lengths 9.998, 2.922, 6.984 Å; angles 90.00, 131.75, 90.00 degrees
Space group C2/m (No. 12)
Asymmetric unit:
Si  0.032  0.000  0.208 x4
Pd  0.230  0.500  0.803 x4
N  0.064  0.500  0.364 x4

Results
The calculated density comes out at 6.5 g/cm³. The energy above the most stable polymorph in this dataset comes out at 251 meV/atom. The calculation puts the total magnetization at 0.0 μB/f.u.


No. 6
SiPdN | PBE | relaxed

Cell lengths 2.996, 2.878, 9.054 Å; angles 90.00, 90.00, 90.00 degrees
Space group Amm2 (No. 38)
Asymmetric unit:
Si  0.000  0.000  0.000 x2
Pd  0.500  0.000  0.796 x2
N  0.000  0.000  0.604 x2

Results
The calculated density comes out at 6.3 g/cm³. The energy above the most stable polymorph in this dataset comes out at 242 meV/atom. The calculation puts the total magnetization at 0.0 μB/f.u.